! RbVSeCl6 | the Alexandria database | PBE | optimized geometry; values from VASP
&SYSTEM
  ibrav = 0, nat = 9, ntyp = 4
/
ATOMIC_SPECIES
Rb 85.47 Rb.upf
V 50.94 V.upf
Se 78.96 Se.upf
Cl 35.45 Cl.upf
ATOMIC_POSITIONS crystal
Rb 0.000 0.000 0.000
V 0.333 0.667 0.500
Se 0.667 0.333 0.500
Cl 0.041 0.391 0.693
Cl 0.041 0.650 0.307
Cl 0.350 0.391 0.307
Cl 0.350 0.959 0.693
Cl 0.609 0.650 0.693
Cl 0.609 0.959 0.307
CELL_PARAMETERS angstrom
6.905 0.000 0.000
-3.453 5.980 0.000
0.000 0.000 6.987
! Crystal system   trigonal
! E   -3.658 eV/atom
! Calculated volume   288.5 Å³/cell
! Total moment   4.13 Bohr magnetons per cell
! Uncorrected formation energy   -0.9187 eV per atom